(1)
AgSO3 after structural relaxation, computed with GGA-PBE.

Values from the calculation:
* crystal system: monoclinic
* symmetry: No. 14

abc: 5.7770 6.6043 10.8380
angles: 90.00 121.13 90.00
Element x y z (fractional)
1 Ag 0.1612 0.0785 0.2328
2 Ag 0.1612 0.4215 0.7328
3 Ag 0.8388 0.5785 0.2672
4 Ag 0.8388 0.9215 0.7672
5 S 0.1477 0.6186 0.0659
6 S 0.1477 0.8814 0.5659
7 S 0.8523 0.1186 0.4341
8 S 0.8523 0.3814 0.9341
9 O 0.0079 0.7362 0.1248
10 O 0.0079 0.7638 0.6248
11 O 0.1939 0.7339 0.9645
12 O 0.1939 0.7661 0.4645
13 O 0.3843 0.5047 0.1749
14 O 0.3843 0.9953 0.6749
15 O 0.6157 0.0047 0.3251
16 O 0.6157 0.4953 0.8251
17 O 0.8061 0.2339 0.5355
18 O 0.8061 0.2661 0.0355
19 O 0.9921 0.2362 0.3752
20 O 0.9921 0.2638 0.8752

(2)
AgSO2 after structural relaxation, computed with GGA-PBE.

Values from the calculation:
* crystal system: tetragonal
* symmetry: No. 122

abc: 6.3564 6.3564 6.3564
angles: 137.00 137.00 62.43
Element x y z (fractional)
1 Ag 0.0000 0.0000 0.0000
2 Ag 0.7500 0.2500 0.5000
3 S 0.2500 0.7500 0.5000
4 S 0.5000 0.5000 0.0000
5 O 0.2149 0.6250 0.0899
6 O 0.3750 0.4649 0.5899
7 O 0.5351 0.1250 0.9101
8 O 0.8750 0.7851 0.4101

(3)
AgS3O after structural relaxation, computed with GGA-PBE.

Values from the calculation:
* crystal system: cubic
* symmetry: No. 221
* relative energy among the computed polymorphs: 784 meV/atom

abc: 4.7807 4.7807 4.7807
angles: 90.00 90.00 90.00
Element x y z (fractional)
1 Ag 0.0000 0.0000 0.0000
2 S 0.0000 0.0000 0.5000
3 S 0.0000 0.5000 0.0000
4 S 0.5000 0.0000 0.0000
5 O 0.5000 0.5000 0.5000

(4)
AgS6O2 after structural relaxation, computed with GGA-PBE.

Values from the calculation:
* crystal system: monoclinic
* symmetry: No. 15

abc: 10.3108 10.3108 5.2672
angles: 91.39 91.39 94.01
Element x y z (fractional)
1 Ag 0.2007 0.7993 0.7500
2 Ag 0.7993 0.2007 0.2500
3 S 0.0117 0.6451 0.2522
4 S 0.0185 0.8198 0.4252
5 S 0.1802 0.9815 0.0748
6 S 0.2490 0.6444 0.1254
7 S 0.3549 0.9883 0.2478
8 S 0.3556 0.7510 0.3746
9 S 0.6444 0.2490 0.6254
10 S 0.6451 0.0117 0.7522
11 S 0.7510 0.3556 0.8746
12 S 0.8198 0.0185 0.9252
13 S 0.9815 0.1802 0.5748
14 S 0.9883 0.3549 0.7478
15 O 0.0487 0.3554 0.0067
16 O 0.3554 0.0487 0.5067
17 O 0.6446 0.9513 0.4933
18 O 0.9513 0.6446 0.9933

(5)
AgSO4 after structural relaxation, computed with GGA-PBE.

Values from the calculation:
* crystal system: triclinic
* symmetry: No. 2
* relative energy among the computed polymorphs: 1 meV/atom

abc: 4.8466 4.9403 8.4411
angles: 73.01 83.37 69.48
Element x y z (fractional)
1 Ag 0.0000 0.0000 0.0000
2 Ag 0.5000 0.5000 0.5000
3 S 0.0876 0.3564 0.2564
4 S 0.9124 0.6436 0.7436
5 O 0.1058 0.0635 0.2292
6 O 0.2183 0.5264 0.1086
7 O 0.2229 0.4510 0.7245
8 O 0.2626 0.2663 0.4081
9 O 0.7374 0.7337 0.5919
10 O 0.7771 0.5490 0.2755
11 O 0.7817 0.4736 0.8914
12 O 0.8942 0.9365 0.7708

(6)
Ag2SO after structural relaxation, computed with GGA-PBE.

Values from the calculation:
* crystal system: tetragonal
* symmetry: No. 122
* relative energy among the computed polymorphs: 0 meV/atom

abc: 6.5969 6.5969 6.5969
angles: 132.07 132.07 70.12
Element x y z (fractional)
1 Ag 0.0864 0.6250 0.9614
2 Ag 0.3750 0.3364 0.4614
3 Ag 0.6636 0.1250 0.0386
4 Ag 0.8750 0.9136 0.5386
5 S 0.2500 0.7500 0.5000
6 S 0.5000 0.5000 0.0000
7 O 0.0000 0.0000 0.0000
8 O 0.7500 0.2500 0.5000

(7)
AgSO4 after structural relaxation, computed with GGA-PBE.

Values from the calculation:
* crystal system: monoclinic
* symmetry: No. 15
* relative energy among the computed polymorphs: 0 meV/atom

abc: 9.7837 9.7837 9.7353
angles: 116.24 116.24 95.10
Element x y z (fractional)
1 Ag 0.0000 0.0000 0.0000
2 Ag 0.0000 0.0000 0.5000
3 Ag 0.0000 0.5000 0.0000
4 Ag 0.0000 0.5000 0.5000
5 Ag 0.5000 0.0000 0.0000
6 Ag 0.5000 0.0000 0.5000
7 Ag 0.5000 0.5000 0.0000
8 Ag 0.5000 0.5000 0.5000
9 S 0.1968 0.7405 0.9378
10 S 0.2519 0.3062 0.0551
11 S 0.2595 0.8032 0.5622
12 S 0.3062 0.2519 0.5551
13 S 0.6938 0.7481 0.4449
14 S 0.7405 0.1968 0.4378
15 S 0.7481 0.6938 0.9449
16 S 0.8032 0.2595 0.0622
17 O 0.0548 0.7881 0.8579
18 O 0.1097 0.3170 0.9178
19 O 0.1216 0.6443 0.4393
20 O 0.1431 0.2100 0.5300
21 O 0.1902 0.6881 0.0579
22 O 0.1957 0.6064 0.7826
23 O 0.2100 0.1431 0.0300
24 O 0.2119 0.9452 0.6421
25 O 0.2990 0.4420 0.2384
26 O 0.3119 0.8098 0.4421
27 O 0.3152 0.3885 0.5245
28 O 0.3170 0.1097 0.4178
29 O 0.3557 0.8784 0.0607
30 O 0.3885 0.3152 0.0245
31 O 0.3936 0.8043 0.7174
32 O 0.4420 0.2990 0.7384
33 O 0.5580 0.7010 0.2616
34 O 0.6064 0.1957 0.2826
35 O 0.6115 0.6848 0.9755
36 O 0.6443 0.1216 0.9393
37 O 0.6830 0.8903 0.5822
38 O 0.6848 0.6115 0.4755
39 O 0.6881 0.1902 0.5579
40 O 0.7010 0.5580 0.7616
41 O 0.7881 0.0548 0.3579
42 O 0.7900 0.8569 0.9700
43 O 0.8043 0.3936 0.2174
44 O 0.8098 0.3119 0.9421
45 O 0.8569 0.7900 0.4700
46 O 0.8784 0.3557 0.5607
47 O 0.8903 0.6830 0.0822
48 O 0.9452 0.2119 0.1421

(8)
AgSO2 after structural relaxation, computed with GGA-PBE.

Values from the calculation:
* crystal system: trigonal
* symmetry: No. 166

abc: 6.5427 6.5427 6.5427
angles: 27.91 27.91 27.91
Element x y z (fractional)
1 Ag 0.0000 0.0000 0.0000
2 S 0.5000 0.5000 0.5000
3 O 0.1139 0.1139 0.1139
4 O 0.8861 0.8861 0.8861

(9)
Ag12S5O3 after structural relaxation, computed with GGA-PBE.

Values from the calculation:
* crystal system: cubic
* symmetry: No. 230

abc: 12.5598 12.5598 12.5598
angles: 109.47 109.47 109.47
Element x y z (fractional)
1 Ag 0.0570 0.6237 0.3829
2 Ag 0.0570 0.9333 0.6741
3 Ag 0.0667 0.2408 0.1237
4 Ag 0.0667 0.3259 0.9430
5 Ag 0.1171 0.7408 0.6741
6 Ag 0.1171 0.8763 0.4430
7 Ag 0.1237 0.0667 0.2408
8 Ag 0.1237 0.5570 0.8829
9 Ag 0.1741 0.2408 0.6171
10 Ag 0.1741 0.4333 0.5570
11 Ag 0.2408 0.1237 0.0667
12 Ag 0.2408 0.6171 0.1741
13 Ag 0.2592 0.3259 0.8829
14 Ag 0.2592 0.4333 0.3763
15 Ag 0.3259 0.8829 0.2592
16 Ag 0.3259 0.9430 0.0667
17 Ag 0.3763 0.2592 0.4333
18 Ag 0.3763 0.6171 0.9430
19 Ag 0.3829 0.0570 0.6237
20 Ag 0.3829 0.8259 0.7592
21 Ag 0.4333 0.3763 0.2592
22 Ag 0.4333 0.5570 0.1741
23 Ag 0.4430 0.1171 0.8763
24 Ag 0.4430 0.8259 0.5667
25 Ag 0.5570 0.1741 0.4333
26 Ag 0.5570 0.8829 0.1237
27 Ag 0.5667 0.4430 0.8259
28 Ag 0.5667 0.6237 0.7408
29 Ag 0.6171 0.1741 0.2408
30 Ag 0.6171 0.9430 0.3763
31 Ag 0.6237 0.3829 0.0570
32 Ag 0.6237 0.7408 0.5667
33 Ag 0.6741 0.0570 0.9333
34 Ag 0.6741 0.1171 0.7408
35 Ag 0.7408 0.5667 0.6237
36 Ag 0.7408 0.6741 0.1171
37 Ag 0.7592 0.3829 0.8259
38 Ag 0.7592 0.8763 0.9333
39 Ag 0.8259 0.5667 0.4430
40 Ag 0.8259 0.7592 0.3829
41 Ag 0.8763 0.4430 0.1171
42 Ag 0.8763 0.9333 0.7592
43 Ag 0.8829 0.1237 0.5570
44 Ag 0.8829 0.2592 0.3259
45 Ag 0.9333 0.6741 0.0570
46 Ag 0.9333 0.7592 0.8763
47 Ag 0.9430 0.0667 0.3259
48 Ag 0.9430 0.3763 0.6171
49 S 0.0000 0.0000 0.0000
50 S 0.0000 0.0000 0.5000
51 S 0.0000 0.5000 0.0000
52 S 0.0000 0.5000 0.5000
53 S 0.1250 0.7500 0.8750
54 S 0.1250 0.8750 0.2500
55 S 0.2500 0.1250 0.8750
56 S 0.2500 0.6250 0.3750
57 S 0.3750 0.2500 0.6250
58 S 0.3750 0.6250 0.7500
59 S 0.5000 0.0000 0.0000
60 S 0.5000 0.0000 0.5000
61 S 0.5000 0.5000 0.0000
62 S 0.5000 0.5000 0.5000
63 S 0.6250 0.3750 0.2500
64 S 0.6250 0.7500 0.3750
65 S 0.7500 0.3750 0.6250
66 S 0.7500 0.8750 0.1250
67 S 0.8750 0.1250 0.7500
68 S 0.8750 0.2500 0.1250
69 O 0.1250 0.2500 0.3750
70 O 0.1250 0.3750 0.7500
71 O 0.2500 0.3750 0.1250
72 O 0.2500 0.8750 0.6250
73 O 0.3750 0.1250 0.2500
74 O 0.3750 0.7500 0.1250
75 O 0.6250 0.2500 0.8750
76 O 0.6250 0.8750 0.7500
77 O 0.7500 0.1250 0.3750
78 O 0.7500 0.6250 0.8750
79 O 0.8750 0.6250 0.2500
80 O 0.8750 0.7500 0.6250

(10)
Ag4SO5 after structural relaxation, computed with GGA-PBE.

Values from the calculation:
* crystal system: tetragonal
* symmetry: No. 79

abc: 5.8451 5.8451 5.8451
angles: 98.92 98.92 133.61
Element x y z (fractional)
1 Ag 0.0983 0.3349 0.4332
2 Ag 0.3349 0.9017 0.2366
3 Ag 0.6651 0.0983 0.7634
4 Ag 0.9017 0.6651 0.5668
5 S 0.5575 0.5575 0.0000
6 O 0.2794 0.5549 0.8741
7 O 0.4054 0.2794 0.7245
8 O 0.5549 0.6809 0.2755
9 O 0.6809 0.4054 0.1259
10 O 0.8882 0.8882 0.0000

(11)
Ag2S2O5 after structural relaxation, computed with GGA-PBE.

Values from the calculation:
* crystal system: monoclinic
* symmetry: No. 12

abc: 7.4829 7.4829 5.2608
angles: 108.32 108.32 29.07
Element x y z (fractional)
1 Ag 0.1858 0.1858 0.0748
2 Ag 0.8142 0.8142 0.9252
3 S 0.3812 0.3812 0.4575
4 S 0.6188 0.6188 0.5425
5 O 0.1386 0.1386 0.6215
6 O 0.3757 0.3757 0.7360
7 O 0.5000 0.5000 0.5000
8 O 0.6243 0.6243 0.2640
9 O 0.8614 0.8614 0.3785

(12)
AgSO3 after structural relaxation, computed with GGA-PBE.

Values from the calculation:
* crystal system: cubic
* symmetry: No. 221

abc: 3.7048 3.7048 3.7048
angles: 90.00 90.00 90.00
Element x y z (fractional)
1 Ag 0.0000 0.0000 0.0000
2 S 0.5000 0.5000 0.5000
3 O 0.0000 0.5000 0.5000
4 O 0.5000 0.0000 0.5000
5 O 0.5000 0.5000 0.0000

(13)
Ag2SO6 after structural relaxation, computed with GGA-PBE.

Values from the calculation:
* crystal system: tetragonal
* symmetry: No. 136

abc: 4.8996 4.8996 9.1503
angles: 90.00 90.00 90.00
Element x y z (fractional)
1 Ag 0.0000 0.0000 0.1671
2 Ag 0.0000 0.0000 0.8329
3 Ag 0.5000 0.5000 0.3329
4 Ag 0.5000 0.5000 0.6671
5 S 0.0000 0.0000 0.5000
6 S 0.5000 0.5000 0.0000
7 O 0.1650 0.1650 0.3726
8 O 0.1650 0.1650 0.6274
9 O 0.2433 0.7567 0.5000
10 O 0.2567 0.2567 0.0000
11 O 0.3350 0.6650 0.1274
12 O 0.3350 0.6650 0.8726
13 O 0.6650 0.3350 0.1274
14 O 0.6650 0.3350 0.8726
15 O 0.7433 0.7433 0.0000
16 O 0.7567 0.2433 0.5000
17 O 0.8350 0.8350 0.3726
18 O 0.8350 0.8350 0.6274

(14)
AgS2O8 after structural relaxation, computed with GGA-PBE.

Values from the calculation:
* crystal system: monoclinic
* symmetry: No. 12

abc: 6.2156 6.2156 5.1972
angles: 94.49 94.49 76.49
Element x y z (fractional)
1 Ag 0.0000 0.0000 0.0000
2 S 0.2089 0.2089 0.6890
3 S 0.7911 0.7911 0.3110
4 O 0.0210 0.7166 0.1983
5 O 0.1886 0.1886 0.4064
6 O 0.2834 0.9790 0.8017
7 O 0.3541 0.3541 0.7812
8 O 0.6459 0.6459 0.2188
9 O 0.7166 0.0210 0.1983
10 O 0.8114 0.8114 0.5936
11 O 0.9790 0.2834 0.8017

(15)
AgSO3 after structural relaxation, computed with GGA-PBE.

Values from the calculation:
* crystal system: monoclinic
* symmetry: No. 14

abc: 7.0858 5.6814 8.4696
angles: 90.00 112.90 90.00
Element x y z (fractional)
1 Ag 0.2455 0.2356 0.2981
2 Ag 0.2455 0.2644 0.7981
3 Ag 0.7545 0.7356 0.2019
4 Ag 0.7545 0.7644 0.7019
5 S 0.2173 0.7158 0.5323
6 S 0.2173 0.7842 0.0323
7 S 0.7827 0.2158 0.9677
8 S 0.7827 0.2842 0.4677
9 O 0.1087 0.6861 0.8527
10 O 0.1087 0.8139 0.3527
11 O 0.2328 0.0513 0.0230
12 O 0.2328 0.4487 0.5230
13 O 0.4228 0.6708 0.1210
14 O 0.4228 0.8292 0.6210
15 O 0.5772 0.1708 0.3790
16 O 0.5772 0.3292 0.8790
17 O 0.7672 0.5513 0.4770
18 O 0.7672 0.9487 0.9770
19 O 0.8913 0.1861 0.6473
20 O 0.8913 0.3139 0.1473

(16)
Ag2SO5 after structural relaxation, computed with GGA-PBE.

Values from the calculation:
* crystal system: monoclinic
* symmetry: No. 8
* relative energy among the computed polymorphs: 0 meV/atom

abc: 5.6501 5.6501 5.0227
angles: 104.53 104.53 77.01
Element x y z (fractional)
1 Ag 0.2399 0.7601 0.0000
2 Ag 0.7601 0.2399 0.0000
3 S 0.3523 0.3523 0.3574
4 O 0.0864 0.4408 0.2444
5 O 0.4013 0.4013 0.6705
6 O 0.4408 0.0864 0.2444
7 O 0.5030 0.5030 0.2695
8 O 0.9582 0.9582 0.7652

(17)
AgSO4 after structural relaxation, computed with GGA-PBE.

Values from the calculation:
* crystal system: monoclinic
* symmetry: No. 15
* relative energy among the computed polymorphs: 643 meV/atom

abc: 6.4155 6.4155 4.9320
angles: 111.97 111.97 54.11
Element x y z (fractional)
1 Ag 0.2395 0.7605 0.7500
2 Ag 0.7605 0.2395 0.2500
3 S 0.0000 0.5000 0.0000
4 S 0.5000 0.0000 0.5000
5 O 0.0612 0.7081 0.2383
6 O 0.1532 0.4742 0.7930
7 O 0.2919 0.9388 0.2617
8 O 0.4742 0.1532 0.2930
9 O 0.5258 0.8468 0.7070
10 O 0.7081 0.0612 0.7383
11 O 0.8468 0.5258 0.2070
12 O 0.9388 0.2919 0.7617

no.,formation energy from raw total energies (eV/atom)
1,-0.880
2,0.185
3,1.642
4,-0.180
5,-0.905
6,0.192
7,-0.907
8,0.226
9,0.124
10,-0.317
11,-0.381
12,0.175
13,-0.141
14,-0.791
15,-0.745
16,-0.560
17,-0.263